Entry from Alexandria via LeMat-Bulk: a geometry-optimized Ba2AgWO6 structure (PBE+U). Values from VASP.

Cell and atoms, written as Quantum ESPRESSO input:
```
&SYSTEM
  ibrav = 0, nat = 10, ntyp = 4
/
ATOMIC_SPECIES
Ba 137.33 Ba.upf
Ag 107.87 Ag.upf
W 183.84 W.upf
O 16.00 O.upf
CELL_PARAMETERS angstrom
-1.4087 3.3024 -4.6401
-2.2686 -4.6505 -2.6210
-2.2198 1.6242 5.4575
ATOMIC_POSITIONS angstrom
Ba -2.0079 0.4439 0.9503
Ba -3.8892 -0.1678 -2.7539
Ag -0.7044 1.6512 -2.3200
W -1.1343 -2.3252 -1.3105
O -2.9162 -1.7386 -0.8091
O -2.8704 1.1123 3.5665
O -1.9466 1.3779 -4.1223
O -3.9505 -1.1018 2.3186
O -3.0267 -0.8363 -5.3701
O -2.9809 2.0147 -0.9945
```

Computed properties:
calculated volume	154.9	Å³ per cell
magnetization	0.27	μB/f.u.
E	-64.1	eV for the cell shown
DOS at the Fermi energy	3.354	states/eV per cell